Entry 1:
Below is a relaxed structure of Na2ZrZnGa, with properties calculated at the PBE level.

## Properties
calculated total energy = -2.51 eV per atom
M_tot = 0.9 Bohr magnetons per cell
DFT formation energy = 0.59 eV per atom

a = 5.235 Å, b = 5.235 Å, c = 5.265 Å
α = 90.00°, β = 90.00°, γ = 90.00°
Space group P4/mmm (No. 123)
One atom of each set of equivalent atoms:
Na 0.000 0.500 0.000 [2 per cell]
Zr 0.000 0.000 0.500 [1 per cell]
Zn 0.500 0.500 0.500 [1 per cell]
Ga 0.000 0.000 0.000 [1 per cell]

Entry 2:
Below is a relaxed structure of CoTcIr4, with properties calculated at the PBE level.

## Properties
calculated total energy = -8.85 eV per atom
M_tot = 1.1 Bohr magnetons per cell
DFT formation energy = -0.04 eV per atom

a = 2.715 Å, b = 3.820 Å, c = 8.085 Å
α = 90.00°, β = 90.00°, γ = 90.00°
Space group Pmmm (No. 47)
One atom of each set of equivalent atoms:
Co 0.000 0.000 0.000 [1 per cell]
Tc 0.500 0.500 0.500 [1 per cell]
Ir 0.000 0.000 0.331 [2 per cell]
Ir 0.500 0.500 0.161 [2 per cell]

Entry 3:
Below is a relaxed structure of LiAlHgBi, with properties calculated at the PBE level.

## Properties
calculated total energy = -2.51 eV per atom
M_tot = 0.0 Bohr magnetons per cell
DFT formation energy = -0.05 eV per atom

a = 7.171 Å, b = 7.171 Å, c = 7.171 Å
α = 90.00°, β = 90.00°, γ = 90.00°
Space group F-43m (No. 216)
One atom of each set of equivalent atoms:
Li 0.000 0.000 0.000 [4 per cell]
Al 0.000 0.000 0.500 [4 per cell]
Hg 0.250 0.250 0.250 [4 per cell]
Bi 0.250 0.250 0.750 [4 per cell]